1.
VASP calculation (GGA-PBE) on an optimized crystal structure of NpGa2Cl8.

- DFT total energy (eV/cell) = -93.5
- N(E_F) (states/eV per atom) = 0.612

a = 13.2481 Å, b = 8.4732 Å, c = 6.8238 Å
α = 90.00°, β = 100.41°, γ = 90.00°
With the nearest neighbours (Å) after each atom.
Space group C2/m (No. 12)
Unique sites:
Np  0.0000  0.0000  0.0000  6 Cl 2.78-2.82
Ga  0.1957  0.0000  0.6589  4 Cl 2.18-2.33
Cl  0.1053  0.2005  0.7760  1 Ga 2.30
Cl  0.1402  0.5000  0.2247  1 Ga 2.18
Cl  0.1675  0.0000  0.3117  1 Ga 2.33

---

2.
VASP calculation (GGA-PBE) on an optimized crystal structure of YBeCu11.

- DFT total energy (eV/cell) = -113.1
- N(E_F) (states/eV per atom) = 0.422

a = 4.7585 Å, b = 11.8328 Å, c = 6.4086 Å
α = 90.00°, β = 110.34°, γ = 90.00°
With the nearest neighbours (Å) after each atom.
Space group C2/m (No. 12)
Unique sites:
Y  0.0000  0.0000  0.0000  18 Cu 2.99-3.20, 2 Be 3.26
Be  0.0000  0.5000  0.5000  10 Cu 2.34-2.56
Cu  0.0000  0.0000  0.5000  2 Be 2.38, 8 Cu 2.44-2.53
Cu  0.1027  0.3908  0.2300  1 Be 2.34, 6 Cu 2.44-2.61
Cu  0.1755  0.1758  0.3563  8 Cu 2.46-2.68, 1 Be 2.56
Cu  0.2500  0.2500  0.0000  10 Cu 2.38-2.62

---

3.
VASP calculation (GGA-PBE) on an optimized crystal structure of K3AcNb2O8.

- DFT total energy (eV/cell) = -102.8
- N(E_F) (states/eV per atom) = 0.000

a = 6.4505 Å, b = 6.4505 Å, c = 7.9830 Å
α = 90.00°, β = 90.00°, γ = 120.00°
With the nearest neighbours (Å) after each atom.
Space group P-3m1 (No. 164)
Unique sites:
K  0.0000  0.0000  0.0000  6 O 3.15
K  0.3333  0.6667  0.6815  1 O 2.49
Ac  0.0000  0.0000  0.5000  6 O 2.48
Nb  0.3333  0.6667  0.2221  4 O 1.82-1.90
O  0.1750  0.3500  0.3088  1 Nb 1.90
O  0.3333  0.6667  0.9937  1 Nb 1.82

---

4.
VASP calculation (GGA-PBE) on an optimized crystal structure of Tb4Dy3Ho8.

- DFT total energy (eV/cell) = -200.5
- N(E_F) (states/eV per atom) = 1.493
- offset from the most stable computed form (kJ/mol of formula units) = 0.0

a = 6.8834 Å, b = 6.8834 Å, c = 35.0020 Å
α = 90.00°, β = 90.00°, γ = 120.00°
With the nearest neighbours (Å) after each atom.
Space group R-3m (No. 166, hexagonal axes)
Unique sites:
Tb  0.0000  0.0000  0.0000  6 Dy 3.44, 6 Ho 3.52
Tb  0.0000  0.0000  0.1636  4 Ho 3.19-3.46
Tb  0.0000  0.0000  0.5000  6 Ho 3.54
Dy  0.0000  0.5000  0.0000  6 Ho 3.39-3.51, 2 Tb 3.44, 4 Dy 3.44
Ho  0.0000  0.0000  0.2547  1 Tb 3.19, 3 Dy 3.39, 6 Ho 3.45
Ho  0.0016  0.5008  0.2504  6 Ho 3.42-3.46, 3 Tb 3.46-3.54, 2 Dy 3.51

---

5.
VASP calculation (GGA-PBE) on an optimized crystal structure of Ti2MnNiH.

- DFT total energy (eV/cell) = -35.6
- N(E_F) (states/eV per atom) = 0.761
- offset from the most stable computed form (kJ/mol of formula units) = 0.0

a = 4.1552 Å, b = 4.1552 Å, c = 3.2325 Å
α = 90.00°, β = 90.00°, γ = 90.00°
With the nearest neighbours (Å) after each atom.
Space group P4/mmm (No. 123)
Unique sites:
Ti  0.0000  0.5000  0.0000  2 H 2.08
Mn  0.0000  0.0000  0.5000  8 Ti 2.63, 4 Ni 2.94
Ni  0.5000  0.5000  0.5000  2 H 1.62
H  0.5000  0.5000  0.0000  2 Ni 1.62

---

6.
VASP calculation (GGA-PBE) on an optimized crystal structure of Ce5Zn2Hg.

- DFT total energy (eV/cell) = -131.0
- N(E_F) (states/eV per atom) = 2.536

a = 5.2126 Å, b = 11.4517 Å, c = 13.3750 Å
α = 90.00°, β = 90.00°, γ = 90.00°
With the nearest neighbours (Å) after each atom.
Space group Cmcm (No. 63)
Unique sites:
Ce  0.0000  0.0626  0.2500  2 Zn 3.31, 3 Hg 3.39-3.50, 6 Ce 3.55-3.64
Ce  0.0000  0.1163  0.5185  3 Ce 2.71-2.89
Ce  0.0000  0.4177  0.5702  3 Ce 2.66-2.89
Zn  0.0000  0.3272  0.1497  1 Zn 2.68
Hg  0.0000  0.2338  0.7500  4 Zn 3.01, 2 Ce 3.20

---

7.
VASP calculation (GGA-PBE) on an optimized crystal structure of Ag2PRh2.

- DFT total energy (eV/cell) = -53.6
- N(E_F) (states/eV per atom) = 0.366

a = 5.9122 Å, b = 5.9122 Å, c = 4.7228 Å
α = 90.00°, β = 90.00°, γ = 90.00°
With the nearest neighbours (Å) after each atom.
Space group P4/mbm (No. 127)
Unique sites:
Ag  0.1649  0.3351  0.0000  1 Ag 2.76, 6 Rh 2.80-3.03
P  0.0000  0.0000  0.5000  4 Rh 2.23
Rh  0.1561  0.6561  0.5000  2 P 2.23

---

8.
VASP calculation (GGA-PBE) on an optimized crystal structure of NdY3Cd.

- DFT total energy (eV/cell) = -102.8
- N(E_F) (states/eV per atom) = 1.441
- offset from the most stable computed form (kJ/mol of formula units) = 0.0

a = 29.9711 Å, b = 3.6681 Å, c = 5.5889 Å
α = 90.00°, β = 91.31°, γ = 90.00°
With the nearest neighbours (Å) after each atom.
Space group C2/m (No. 12)
Unique sites:
Nd  0.2334  0.0000  0.2477  6 Nd 3.48-3.67, 6 Y 3.59-3.73
Y  0.0500  0.5000  0.7188  6 Cd 3.26-3.38, 2 Y 3.58-3.63
Y  0.1262  0.5000  0.2340  2 Cd 3.20, 5 Y 3.47-3.58
Y  0.1582  0.0000  0.7393  8 Y 3.47-3.73, 4 Nd 3.59-3.73
Cd  0.0387  0.0000  0.2124  8 Y 3.20-3.38, 1 Cd 3.28

---

9.
VASP calculation (GGA-PBE) on an optimized crystal structure of CuC3N.

- DFT total energy (eV/cell) = -23.9
- N(E_F) (states/eV per atom) = 0.535
- offset from the most stable computed form (kJ/mol of formula units) = 0.0

a = 3.4442 Å, b = 3.4442 Å, c = 3.4442 Å
α = 90.00°, β = 90.00°, γ = 90.00°
With the nearest neighbours (Å) after each atom.
Space group Pm-3m (No. 221)
Unique sites:
Cu  0.0000  0.0000  0.0000  12 C 2.44
C  0.0000  0.5000  0.5000  2 N 1.72
N  0.5000  0.5000  0.5000  6 C 1.72

---

10.
VASP calculation (GGA-PBE) on an optimized crystal structure of Sr2InHgTe5.

- DFT total energy (eV/cell) = -117.2
- N(E_F) (states/eV per atom) = 0.349

a = 4.4782 Å, b = 20.8945 Å, c = 13.5638 Å
α = 90.00°, β = 90.00°, γ = 90.00°
With the nearest neighbours (Å) after each atom.
Space group Cmc2_1 (No. 36)
Unique sites:
Sr  0.0000  0.0954  0.0000  6 Te 3.23-3.44
Sr  0.0000  0.1213  0.6520  8 Te 3.31-3.68
In  0.0000  0.4178  0.7977  4 Te 2.79-2.88
Hg  0.0000  0.2516  0.4115  5 Te 2.93-3.07
Te  0.0000  0.0590  0.4202  2 In 2.83
Te  0.0000  0.2545  0.0649  2 Hg 3.06
Te  0.0000  0.2814  0.7657  1 In 2.88, 2 Hg 3.07
Te  0.0000  0.3820  0.3316  1 Hg 2.93, 2 Sr 3.23
Te  0.0000  0.4898  0.6247  1 In 2.79

---

11.
VASP calculation (GGA-PBE) on an optimized crystal structure of TiSbCl2.

- DFT total energy (eV/cell) = -71.4
- N(E_F) (states/eV per atom) = 0.591
- offset from the most stable computed form (kJ/mol of formula units) = 131.2

a = 8.4709 Å, b = 8.4709 Å, c = 5.5251 Å
α = 90.00°, β = 90.00°, γ = 90.00°
With the nearest neighbours (Å) after each atom.
Space group I-42d (No. 122)
Unique sites:
Ti  0.0000  0.0000  0.0000  4 Cl 2.46
Sb  0.0000  0.0000  0.5000  2 Ti 2.76
Cl  0.1221  0.2500  0.1250  2 Ti 2.46

---

12.
VASP calculation (GGA-PBE) on an optimized crystal structure of CsCrSe2Br.

- DFT total energy (eV/cell) = -22.3
- N(E_F) (states/eV per atom) = 0.742
- offset from the most stable computed form (kJ/mol of formula units) = 0.0

a = 4.9545 Å, b = 4.9545 Å, c = 5.7701 Å
α = 90.00°, β = 90.00°, γ = 90.00°
With the nearest neighbours (Å) after each atom.
Space group P4/mmm (No. 123)
Unique sites:
Cs  0.0000  0.0000  0.0000  4 Br 3.50, 8 Se 3.80
Cr  0.5000  0.5000  0.5000  4 Se 2.48
Se  0.0000  0.5000  0.5000  2 Cr 2.48
Br  0.5000  0.5000  0.0000  2 Cr 2.89

---

13.
VASP calculation (GGA-PBE) on an optimized crystal structure of CaZrSc2.

- DFT total energy (eV/cell) = -22.5
- N(E_F) (states/eV per atom) = 1.289
- offset from the most stable computed form (kJ/mol of formula units) = 31.7

a = 3.3584 Å, b = 4.3578 Å, c = 7.4772 Å
α = 90.00°, β = 90.00°, γ = 90.00°
With the nearest neighbours (Å) after each atom.
Space group Pmm2 (No. 25)
Unique sites:
Ca  0.0000  0.0000  0.0000  2 Ca 3.36, 4 Zr 3.49, 5 Sc 3.56-3.57
Zr  0.5000  0.5000  0.7132  5 Sc 3.05-3.09, 2 Zr 3.36
Sc  0.0000  0.0000  0.5244  4 Zr 3.09, 6 Sc 3.20-3.36
Sc  0.5000  0.5000  0.3052  1 Zr 3.05, 6 Sc 3.20-3.36

---

14.
VASP calculation (GGA-PBE) on an optimized crystal structure of La2HfAgC.

- DFT total energy (eV/cell) = -23.0
- N(E_F) (states/eV per atom) = 1.152

a = 5.7368 Å, b = 5.7368 Å, c = 4.9582 Å
α = 90.00°, β = 90.00°, γ = 90.00°
With the nearest neighbours (Å) after each atom.
Space group P4/mmm (No. 123)
Unique sites:
La  0.0000  0.5000  0.0000  2 Hf 2.87
Hf  0.0000  0.0000  0.0000  2 Ag 2.48
Ag  0.0000  0.0000  0.5000  2 Hf 2.48
C  0.5000  0.5000  0.5000  8 La 3.79, 4 Ag 4.06